Entry 1:
A relaxed structure of Pr3Zr5S12. Source: Alexandria via LeMat-Bulk, functional PBE-GGA.

Computed properties:
Formation energy (no corrections)   -1.522 eV per atom
M_tot   2.21 μB per formula unit
Symmetry   Ia-3d, No. 230

Cell lengths 13.6945, 13.6945, 13.6945 Å; angles 109.47, 109.47, 109.47 degrees
Last column: magnetic moment on the atom in μB.
Atoms (fractional coordinates):
S (0.7140, 0.1230, 0.0372)  -0.01
Pr (0.1250, 0.2500, 0.8750)  0.03
S (0.1230, 0.7140, 0.5372)  -0.01
S (0.2140, 0.6768, 0.0910)  -0.01
S (0.9090, 0.8232, 0.7860)  -0.01
S (0.1768, 0.0859, 0.9628)  -0.01
S (0.0910, 0.9141, 0.3770)  -0.01
S (0.7140, 0.5910, 0.1768)  -0.01
S (0.5859, 0.9628, 0.6768)  -0.01
Zr (0.0000, 0.0000, 0.0000)  0.42
S (0.0910, 0.1768, 0.2140)  -0.01
S (0.8770, 0.5910, 0.9141)  -0.01
Zr (0.7500, 0.1250, 0.8750)  0.18
Pr (0.7500, 0.8750, 0.6250)  0.03
S (0.2860, 0.8770, 0.9628)  -0.01
S (0.3770, 0.9628, 0.7860)  -0.01
S (0.2140, 0.5372, 0.6230)  -0.01
Pr (0.2500, 0.6250, 0.8750)  0.03
S (0.5859, 0.6230, 0.4090)  -0.01
S (0.5372, 0.2140, 0.1230)  -0.01
Zr (0.1250, 0.3750, 0.2500)  0.18
Zr (0.8750, 0.6250, 0.7500)  0.18
S (0.8770, 0.2860, 0.4628)  -0.01
Pr (0.1250, 0.8750, 0.7500)  0.03
S (0.9141, 0.0910, 0.8770)  -0.01
S (0.2860, 0.4090, 0.8232)  -0.01
S (0.9090, 0.0859, 0.6230)  -0.01
S (0.5910, 0.7140, 0.6768)  -0.01
S (0.1768, 0.0910, 0.7140)  -0.01
Zr (0.5000, 0.0000, 0.0000)  0.42
Pr (0.6250, 0.3750, 0.7500)  0.03
Zr (0.5000, 0.5000, 0.5000)  0.42
S (0.6230, 0.0372, 0.2140)  -0.01
S (0.6230, 0.5859, 0.9090)  -0.01
S (0.3770, 0.4141, 0.0910)  -0.01
S (0.7860, 0.4628, 0.3770)  -0.01
S (0.9628, 0.5859, 0.1768)  -0.01
S (0.4090, 0.1230, 0.5859)  -0.01
Pr (0.3750, 0.6250, 0.2500)  0.03
Pr (0.6250, 0.2500, 0.3750)  0.03
S (0.1230, 0.4090, 0.0859)  -0.01
Zr (0.3750, 0.1250, 0.7500)  0.18
S (0.6768, 0.2140, 0.5910)  -0.01
S (0.7860, 0.3232, 0.9090)  -0.01
Zr (0.6250, 0.8750, 0.2500)  0.18
S (0.0372, 0.4141, 0.8232)  -0.01
Zr (0.0000, 0.5000, 0.5000)  0.42
Zr (0.8750, 0.2500, 0.6250)  0.18
Zr (0.6250, 0.7500, 0.8750)  0.18
S (0.6768, 0.4628, 0.5859)  -0.01
Zr (0.0000, 0.0000, 0.5000)  0.42
S (0.0372, 0.6230, 0.7140)  -0.01
Zr (0.2500, 0.8750, 0.1250)  0.18
S (0.5372, 0.3232, 0.9141)  -0.01
S (0.9628, 0.3770, 0.2860)  -0.01
Zr (0.5000, 0.5000, 0.0000)  0.42
Pr (0.2500, 0.1250, 0.3750)  0.03
S (0.4628, 0.7860, 0.8770)  -0.01
Pr (0.8750, 0.7500, 0.1250)  0.03
S (0.0859, 0.9090, 0.1230)  -0.01
Zr (0.7500, 0.6250, 0.3750)  0.18
S (0.0859, 0.1768, 0.4628)  -0.01
S (0.3232, 0.7860, 0.4090)  -0.01
S (0.5910, 0.8770, 0.4141)  -0.01
Pr (0.3750, 0.7500, 0.6250)  0.03
Pr (0.8750, 0.1250, 0.2500)  0.03
Zr (0.0000, 0.5000, 0.0000)  0.42
S (0.8232, 0.9141, 0.0372)  -0.01
Zr (0.2500, 0.3750, 0.6250)  0.18
Zr (0.1250, 0.7500, 0.3750)  0.18
S (0.4628, 0.6768, 0.0859)  -0.01
Zr (0.3750, 0.2500, 0.1250)  0.18
Zr (0.5000, 0.0000, 0.5000)  0.42
S (0.4090, 0.2860, 0.3232)  -0.01
S (0.4141, 0.3770, 0.5910)  -0.01
S (0.4141, 0.0372, 0.3232)  -0.01
Pr (0.7500, 0.3750, 0.1250)  0.03
S (0.9141, 0.8232, 0.5372)  -0.01
S (0.3232, 0.5372, 0.4141)  -0.01
S (0.8232, 0.9090, 0.2860)  -0.01

Entry 2:
A relaxed structure of PrLuAgRu. Source: Alexandria via LeMat-Bulk, functional PBE-GGA.

Computed properties:
Energy relative to the elements   -0.257 eV per atom
M_tot   0.00 μB per formula unit
Symmetry   F-43m, No. 216

Cell lengths 5.0190, 5.0190, 5.0190 Å; angles 60.00, 60.00, 60.00 degrees
Atoms (fractional coordinates):
Pr (0.0000, 0.0000, 0.0000)
Ru (0.7500, 0.7500, 0.7500)
Ag (0.2500, 0.2500, 0.2500)
Lu (0.5000, 0.5000, 0.5000)